Record 1
Density functional theory data (PBE) for a geometry-optimized LiCrSiPd2 structure.

## Properties
Volume   14.2 A^3/atom
DFT total energy   -4.801 eV/atom
Space-group type   P4/mmm

Cell: 4.0949 4.2386 4.0949 Å, 90.00 90.00 90.00°
Atoms (fractional coordinates):
Cr: 0.5000 0.5000 0.5000
Si: 0.0000 0.5000 0.0000
Pd: 0.0000 0.0000 0.5000
Pd: 0.5000 0.0000 0.0000
Li: 0.0000 0.0000 0.0000

---

Record 2
Density functional theory data (PBE) for a geometry-optimized SrLiCr2Pd structure.

## Properties
Volume   25.5 A^3/atom
Calculated formation energy   1.2542 eV/atom
DFT total energy   -4.353 eV/atom
Space-group type   P4/mmm

Cell: 4.7472 5.6615 4.7472 Å, 90.00 90.00 90.00°
Atoms (fractional coordinates):
Sr: 0.0000 0.5000 0.0000
Li: 0.5000 0.5000 0.5000
Pd: 0.0000 0.0000 0.0000
Cr: 0.0000 0.0000 0.5000
Cr: 0.5000 0.0000 0.0000

---

Record 3
Density functional theory data (PBE) for a geometry-optimized LiTiCrPd2 structure.

## Properties
Volume   15.1 A^3/atom
Calculated formation energy   0.3298 eV/atom
DFT total energy   -5.634 eV/atom
Space-group type   P4/mmm

Cell: 4.2164 4.2557 4.2164 Å, 90.00 90.00 90.00°
Atoms (fractional coordinates):
Cr: 0.0000 0.5000 0.0000
Li: 0.0000 0.0000 0.0000
Pd: 0.0000 0.0000 0.5000
Pd: 0.5000 0.0000 0.0000
Ti: 0.5000 0.5000 0.5000

---

Record 4
Density functional theory data (PBE) for a geometry-optimized Li3PmCr2S6 structure.

## Properties
Volume   17.7 A^3/atom
DFT total energy   -5.760 eV/atom
Space-group type   C2/m

Cell: 6.3369 6.3369 6.4892 Å, 99.50 99.50 120.01°
Atoms (fractional coordinates):
Li: 0.1649 0.8351 0.5000
Li: 0.8351 0.1649 0.5000
Li: 0.5000 0.5000 0.5000
Pm: 0.0000 0.0000 0.0000
Cr: 0.3328 0.6672 0.0000
Cr: 0.6672 0.3328 0.0000
S: 0.9217 0.5489 0.7673
S: 0.7081 0.7081 0.2369
S: 0.0783 0.4511 0.2327
S: 0.5489 0.9217 0.7673
S: 0.2919 0.2919 0.7631
S: 0.4511 0.0783 0.2327

---

Record 5
Density functional theory data (PBE) for a geometry-optimized LiPmCrSn structure.

## Properties
Volume   20.8 A^3/atom
Calculated formation energy   -0.1528 eV/atom
DFT total energy   -5.225 eV/atom
Space-group type   F-43m

Cell: 4.8968 4.8968 4.8968 Å, 60.00 60.00 60.00°
Atoms (fractional coordinates):
Cr: 0.0000 0.0000 0.0000
Li: 0.5000 0.5000 0.5000
Sn: 0.2500 0.2500 0.2500
Pm: 0.7500 0.7500 0.7500

---

Record 6
Density functional theory data (PBE) for a geometry-optimized LiPmTmCr structure.

## Properties
Volume   23.6 A^3/atom
Calculated formation energy   0.1877 eV/atom
DFT total energy   -5.002 eV/atom
Space-group type   F-43m

Cell: 5.1098 5.1098 5.1098 Å, 60.00 60.00 60.00°
Atoms (fractional coordinates):
Cr: 0.0000 0.0000 0.0000
Tm: 0.2500 0.2500 0.2500
Li: 0.5000 0.5000 0.5000
Pm: 0.7500 0.7500 0.7500

---

Record 7
Density functional theory data (PBE) for a geometry-optimized LiCr3Pt structure.

## Properties
Volume   24.3 A^3/atom
Calculated formation energy   1.0179 eV/atom
DFT total energy   -6.347 eV/atom
Space-group type   Pm-3m
Energy above the most stable polymorph in this dataset   0.0 kJ/mol of formula units

Cell: 4.9502 4.9502 4.9502 Å, 90.00 90.00 90.00°
Atoms (fractional coordinates):
Cr: 0.0000 0.5000 0.0000
Cr: 0.0000 0.0000 0.5000
Cr: 0.5000 0.0000 0.0000
Pt: 0.0000 0.0000 0.0000
Li: 0.5000 0.5000 0.5000

---

Record 8
Density functional theory data (PBE) for a geometry-optimized LiCr2Pt structure.

## Properties
Volume   13.6 A^3/atom
Calculated formation energy   0.0340 eV/atom
DFT total energy   -6.766 eV/atom
Space-group type   Pm

Cell: 3.9906 2.7175 5.0928 Å, 79.57 90.00 90.00°
Atoms (fractional coordinates):
Cr: 0.0000 0.0329 0.0244
Cr: 0.5000 0.3125 0.2420
Li: 0.0000 0.4221 0.5144
Pt: 0.5000 0.7324 0.7192

---

Record 9
Density functional theory data (PBE) for a geometry-optimized Li2CrPt structure.

## Properties
Volume   15.4 A^3/atom
Calculated formation energy   -0.0411 eV/atom
DFT total energy   -4.914 eV/atom
Space-group type   P4mm
Energy above the most stable polymorph in this dataset   41.5 kJ/mol of formula units

Cell: 3.2382 3.2382 5.8825 Å, 90.00 90.00 90.00°
Atoms (fractional coordinates):
Cr: 0.5000 0.5000 0.7162
Li: 0.0000 0.0000 0.0116
Li: 0.5000 0.5000 0.2604
Pt: 0.0000 0.0000 0.5118

---

Record 10
Density functional theory data (PBE) for a geometry-optimized LiCr2Pt structure.

## Properties
Volume   13.9 A^3/atom
Calculated formation energy   -0.0011 eV/atom
DFT total energy   -6.801 eV/atom
Space-group type   Cm

Cell: 4.8210 4.8210 4.2954 Å, 63.41 63.41 39.25°
Atoms (fractional coordinates):
Cr: 0.0120 0.0120 0.9884
Cr: 0.7374 0.7374 0.7623
Li: 0.4990 0.4990 0.5014
Pt: 0.2516 0.2516 0.2480

---

Record 11
Density functional theory data (PBE) for a geometry-optimized LiCr2Pt structure.

## Properties
Volume   13.1 A^3/atom
Calculated formation energy   -0.0394 eV/atom
DFT total energy   -6.840 eV/atom
Space-group type   P4mm

Cell: 2.9954 2.9954 5.8492 Å, 90.00 90.00 90.00°
Atoms (fractional coordinates):
Cr: 0.0000 0.0000 0.0263
Cr: 0.5000 0.5000 0.2385
Li: 0.0000 0.0000 0.5028
Pt: 0.5000 0.5000 0.7324

---

Record 12
Density functional theory data (PBE) for a geometry-optimized LiCr2Pt structure.

## Properties
Volume   13.5 A^3/atom
Calculated formation energy   0.1514 eV/atom
DFT total energy   -6.649 eV/atom
Space-group type   P4mm

Cell: 2.6108 2.6108 7.9253 Å, 90.00 90.00 90.00°
Atoms (fractional coordinates):
Cr: 0.0000 0.0000 0.9951
Cr: 0.5000 0.5000 0.2289
Li: 0.0000 0.0000 0.5129
Pt: 0.5000 0.5000 0.7631